Entry 1:
DFT (GGA-PBE) results for a relaxed structure of CaSb2Ru.

ΔE_f (raw): -0.05 eV per atom

a = 4.584 Å, b = 4.594 Å, c = 4.130 Å
α = 90.00°, β = 90.00°, γ = 90.00°
Atoms (fractional coordinates):
Sb1 0.500 0.500 0.000
Ca1 0.500 0.000 0.500
Ru1 0.000 0.500 0.500
Sb2 0.000 0.000 0.000

=====

Entry 2:
DFT (GGA-PBE) results for a relaxed structure of TbSmEuDy.

DFT total energy: -5.90 eV/atom

a = 5.779 Å, b = 5.779 Å, c = 5.779 Å
α = 60.00°, β = 60.00°, γ = 60.00°
Last column: magnetic moment on the atom in μB.
Atoms (fractional coordinates):
Tb1 0.000 0.000 0.000  0.22
Eu1 0.750 0.750 0.750  6.89
Sm1 0.500 0.500 0.500  0.19
Dy1 0.250 0.250 0.250  0.24

=====

Entry 3:
DFT (GGA-PBE) results for a relaxed structure of KFeAg.

DFT total energy: -3.29 eV/atom

a = 3.046 Å, b = 3.046 Å, c = 7.954 Å
α = 90.00°, β = 90.00°, γ = 120.00°
Last column: magnetic moment on the atom in μB.
Atoms (fractional coordinates):
Fe1 0.667 0.333 0.301  3.03
K1 0.333 0.667 0.664  -0.02
Ag1 0.000 0.000 0.035  0.03

=====

Entry 4:
DFT (GGA-PBE) results for a relaxed structure of La6PtRh3.

DFT total energy: -6.51 eV/atom

a = 4.170 Å, b = 12.403 Å, c = 12.064 Å
α = 110.81°, β = 90.00°, γ = 90.00°
Atoms (fractional coordinates):
La1 0.250 0.894 0.550
La2 0.250 0.065 0.898
Rh1 0.250 0.558 0.167
La3 0.750 0.394 0.058
La4 0.250 0.606 0.942
Rh2 0.750 0.160 0.079
La5 0.750 0.106 0.450
La6 0.250 0.230 0.244
Rh3 0.750 0.711 0.501
Pt1 0.750 0.065 0.691
Rh4 0.250 0.840 0.921
Pt2 0.250 0.935 0.309
La7 0.750 0.447 0.600
Rh5 0.750 0.442 0.833
Rh6 0.250 0.289 0.499
La8 0.750 0.734 0.264
La9 0.250 0.553 0.400
La10 0.750 0.935 0.102
La11 0.750 0.770 0.756
La12 0.250 0.266 0.736

=====

Entry 5:
DFT (GGA-PBE) results for a relaxed structure of Sr2ScTa.

DFT total energy: -4.70 eV/atom

a = 5.193 Å, b = 5.193 Å, c = 8.167 Å
α = 85.76°, β = 85.76°, γ = 37.42°
Atoms (fractional coordinates):
Sr1 0.763 0.763 0.692
Ta1 0.506 0.506 0.427
Sr2 0.993 0.993 0.059
Sc1 0.238 0.238 0.322

=====

Entry 6:
DFT (GGA-PBE) results for a relaxed structure of OsPtO3.

ΔE_f (raw): 0.99 eV per atom

a = 3.967 Å, b = 3.967 Å, c = 3.967 Å
α = 90.00°, β = 90.00°, γ = 90.00°
Last column: magnetic moment on the atom in μB.
Atoms (fractional coordinates):
Os1 0.500 0.500 0.500  3.59
O1 0.000 0.000 0.500  0.17
O2 0.500 0.000 0.000  0.21
O3 0.000 0.500 0.000  0.23
Pt1 0.000 0.000 0.000  0.15

=====

Entry 7:
DFT (GGA-PBE) results for a relaxed structure of CaInFe2.

DFT total energy: -5.03 eV/atom

a = 4.717 Å, b = 4.717 Å, c = 4.717 Å
α = 60.00°, β = 60.00°, γ = 60.00°
Last column: magnetic moment on the atom in μB.
Atoms (fractional coordinates):
Fe1 0.000 0.000 0.000  2.67
Ca1 0.500 0.500 0.500  -0.06
In1 0.750 0.750 0.750  -0.09
Fe2 0.250 0.250 0.250  2.69

=====

Entry 8:
DFT (GGA-PBE) results for a relaxed structure of UTl2Rh2Se6.

ΔE_f (raw): -0.64 eV per atom

a = 6.418 Å, b = 6.418 Å, c = 8.326 Å
α = 96.61°, β = 96.61°, γ = 120.34°
Last column: magnetic moment on the atom in μB.
Atoms (fractional coordinates):
Se1 0.418 0.055 0.688  -0.02
Rh1 0.333 0.667 0.500  0.10
Se2 0.309 0.309 0.313  -0.03
Tl1 0.155 0.845 0.000  0.01
Se3 0.691 0.691 0.687  -0.03
Se4 0.055 0.418 0.688  -0.02
Rh2 0.667 0.333 0.500  0.10
Se5 0.582 0.945 0.312  -0.02
Se6 0.945 0.582 0.312  -0.02
U1 0.000 0.000 0.500  1.49
Tl2 0.845 0.155 0.000  0.01

=====

Entry 9:
DFT (GGA-PBE) results for a relaxed structure of YNi2Se.

ΔE_f (raw): -0.54 eV per atom

a = 4.085 Å, b = 3.768 Å, c = 4.731 Å
α = 88.25°, β = 90.00°, γ = 90.00°
Atoms (fractional coordinates):
Ni1 0.500 0.245 0.248
Ni2 0.000 0.224 0.988
Y1 0.500 0.751 0.769
Se1 0.000 0.279 0.495

=====

Entry 10:
DFT (GGA-PBE) results for a relaxed structure of AlAg2I.

ΔE_f (raw): 0.46 eV per atom

a = 5.116 Å, b = 5.116 Å, c = 5.116 Å
α = 60.00°, β = 60.00°, γ = 60.00°
Atoms (fractional coordinates):
Ag1 0.750 0.750 0.750
Al1 0.000 0.000 0.000
Ag2 0.250 0.250 0.250
I1 0.500 0.500 0.500

=====

Entry 11:
DFT (GGA-PBE) results for a relaxed structure of Tl2FeRh.

DFT total energy: -4.51 eV/atom

a = 7.441 Å, b = 7.441 Å, c = 6.026 Å
α = 51.87°, β = 51.87°, γ = 90.00°
Last column: magnetic moment on the atom in μB.
Atoms (fractional coordinates):
Fe1 0.250 0.750 0.500  2.83
Rh1 0.000 0.000 0.000  0.10
Rh2 0.750 0.250 0.500  0.10
Tl1 0.623 0.125 0.250  -0.04
Tl2 0.875 0.873 0.750  -0.04
Tl3 0.375 0.377 0.750  -0.03
Fe2 0.500 0.500 0.000  2.83
Tl4 0.127 0.625 0.250  -0.04

=====

Entry 12:
DFT (GGA-PBE) results for a relaxed structure of CsCa2ScI8.

ΔE_f (raw): -1.38 eV per atom

a = 7.587 Å, b = 7.232 Å, c = 9.914 Å
α = 89.88°, β = 89.93°, γ = 88.54°
Atoms (fractional coordinates):
I1 0.396 0.266 0.500
I2 0.839 0.240 0.199
I3 0.604 0.734 0.500
Ca1 0.500 0.500 0.246
I4 0.161 0.760 0.801
Ca2 0.500 0.500 0.754
Cs1 0.000 0.000 0.500
I5 0.841 0.241 0.801
I6 0.323 0.247 0.000
I7 0.677 0.753 0.000
Sc1 0.000 0.000 0.000
I8 0.159 0.759 0.199

=====

Entry 13:
DFT (GGA-PBE) results for a relaxed structure of EuFeP2.

DFT total energy: -8.12 eV/atom

a = 3.857 Å, b = 3.857 Å, c = 5.581 Å
α = 69.78°, β = 69.78°, γ = 60.00°
Last column: magnetic moment on the atom in μB.
Atoms (fractional coordinates):
Fe1 0.000 0.000 0.000  -0.69
Eu1 0.500 0.500 0.500  6.70
P1 0.289 0.289 0.133  -0.01
P2 0.711 0.711 0.867  -0.01

=====

Entry 14:
DFT (GGA-PBE) results for a relaxed structure of Nd2Dy3Ga4.

DFT total energy: -4.51 eV/atom

a = 7.587 Å, b = 8.006 Å, c = 8.032 Å
α = 90.00°, β = 90.00°, γ = 106.65°
Atoms (fractional coordinates):
Dy1 0.500 0.500 0.000
Nd1 0.574 0.191 0.318
Ga1 0.121 0.506 0.880
Dy2 0.000 0.500 0.500
Ga2 0.632 0.920 0.031
Dy3 0.251 0.240 0.675
Nd2 0.426 0.809 0.682
Dy4 0.249 0.760 0.175
Ga3 0.368 0.080 0.969
Ga4 0.879 0.494 0.120
Dy5 0.749 0.760 0.325
Ga5 0.132 0.920 0.469
Dy6 0.751 0.240 0.825
Ga6 0.621 0.506 0.620
Nd3 0.926 0.809 0.818
Nd4 0.074 0.191 0.182
Ga7 0.379 0.494 0.380
Ga8 0.868 0.080 0.531

=====

Entry 15:
DFT (GGA-PBE) results for a relaxed structure of PrNd2Hg.

DFT total energy: -3.79 eV/atom

a = 3.756 Å, b = 3.756 Å, c = 11.145 Å
α = 80.30°, β = 80.30°, γ = 60.00°
Atoms (fractional coordinates):
Pr1 0.500 0.500 0.500
Hg1 0.667 0.667 0.000
Nd1 0.075 0.075 0.776
Nd2 0.259 0.259 0.224

=====

Entry 16:
DFT (GGA-PBE) results for a relaxed structure of YBrF.

ΔE_f (raw): -2.43 eV per atom

a = 5.597 Å, b = 7.415 Å, c = 7.471 Å
α = 90.00°, β = 90.00°, γ = 90.50°
Atoms (fractional coordinates):
Y1 0.505 0.750 0.973
F1 0.244 0.250 0.250
F2 0.744 0.250 0.250
F3 0.256 0.750 0.750
Br1 0.006 0.750 0.129
Br2 0.494 0.250 0.629
Br3 0.506 0.750 0.371
F4 0.756 0.750 0.750
Br4 0.994 0.250 0.871
Y2 0.995 0.250 0.473
Y3 0.495 0.250 0.027
Y4 0.005 0.750 0.527

=====

Entry 17:
DFT (GGA-PBE) results for a relaxed structure of AcNd10Sm6.

DFT total energy: -4.58 eV/atom

a = 7.042 Å, b = 9.997 Å, c = 9.997 Å
α = 120.00°, β = 90.00°, γ = 90.00°
Atoms (fractional coordinates):
Nd1 0.000 0.667 0.333
Sm1 0.308 0.626 0.626
Nd2 0.175 0.720 0.000
Nd3 0.000 0.333 0.667
Sm2 0.692 0.000 0.626
Sm3 0.308 0.374 0.000
Nd4 0.825 0.720 0.720
Sm4 0.692 0.626 0.000
Sm5 0.308 0.000 0.374
Nd5 0.500 0.667 0.333
Nd6 0.825 0.280 0.000
Sm6 0.692 0.374 0.374
Ac1 0.500 0.000 0.000
Nd7 0.175 0.000 0.720
Nd8 0.825 0.000 0.280
Nd9 0.175 0.280 0.280
Nd10 0.500 0.333 0.667

=====

Entry 18:
DFT (GGA-PBE) results for a relaxed structure of Hg2RuPb.

DFT total energy: -2.87 eV/atom

a = 3.384 Å, b = 4.657 Å, c = 5.443 Å
α = 90.00°, β = 90.00°, γ = 90.00°
Atoms (fractional coordinates):
Ru1 0.000 0.500 0.500
Hg1 0.500 0.500 0.000
Hg2 0.000 0.000 0.000
Pb1 0.500 0.000 0.500

=====

Entry 19:
DFT (GGA-PBE) results for a relaxed structure of Cs3PrAg2Cl8.

ΔE_f (raw): -1.62 eV per atom

a = 7.678 Å, b = 7.678 Å, c = 10.235 Å
α = 90.00°, β = 90.00°, γ = 120.00°
Atoms (fractional coordinates):
Ag1 0.333 0.667 0.190
Cl1 0.833 0.667 0.659
Ag2 0.667 0.333 0.810
Cl2 0.833 0.167 0.659
Pr1 0.000 0.000 0.500
Cl3 0.333 0.167 0.659
Cl4 0.667 0.833 0.341
Cl5 0.667 0.333 0.046
Cl6 0.167 0.833 0.341
Cs1 0.000 0.000 0.000
Cs2 0.667 0.333 0.364
Cl7 0.167 0.333 0.341
Cl8 0.333 0.667 0.954
Cs3 0.333 0.667 0.636

=====

Entry 20:
DFT (GGA-PBE) results for a relaxed structure of AlBi2Pd6.

DFT total energy: -5.07 eV/atom

a = 3.528 Å, b = 7.436 Å, c = 7.783 Å
α = 118.54°, β = 103.21°, γ = 90.00°
Atoms (fractional coordinates):
Bi1 0.655 0.655 0.311
Al1 0.000 0.000 0.000
Pd1 0.835 0.034 0.671
Pd2 0.165 0.966 0.329
Bi2 0.345 0.345 0.689
Pd3 0.500 0.764 0.000
Pd4 0.835 0.637 0.671
Pd5 0.165 0.363 0.329
Pd6 0.500 0.236 0.000